# CdIn2Ru

Crystalline CdIn2Ru at its relaxed geometry (PBE, Alexandria).

Results
Distance to the lowest polymorph of the same formula in kJ/mol of formula units: 40
Uncorrected energy in eV per atom: -3.693
ΔE_f in kJ/mol of atoms: 21.6

Cell lengths 4.3655, 4.3655, 4.0455 Å; angles 90.00, 90.00, 90.00 degrees
Last column: nearest neighbours and their distance in Å.
Space group P4/mmm (No. 123)
Unique sites:
Cd: 0.0000 0.0000 0.0000  8 In 2.98, 4 Ru 3.09
In: 0.0000 0.5000 0.5000  4 Cd 2.98, 4 Ru 2.98, 4 In 3.09
Ru: 0.5000 0.5000 0.0000  8 In 2.98, 4 Cd 3.09